[1]
First-principles (PBE) data for an optimized crystal structure of GdThC, as listed in the Alexandria database.

Calculated values
V = 65.4 Å³ per cell
Fermi-level density of states = 2.707 states/eV per cell

Unit cell a=3.2756 b=3.2756 c=6.5190 alpha=104.55 beta=104.55 gamma=90.00
Last column: nearest neighbours and their distance in Å.
Positions (direct):
C  0.3241  0.3241  0.6482  4 Th 2.64, 4 Gd 2.82
Gd  0.9558  0.9558  0.9116  4 C 2.82, 1 Th 2.87
Th  0.7201  0.7201  0.4401  4 C 2.64, 1 Gd 2.87

=====

[2]
First-principles (PBE) data for an optimized crystal structure of GdThC2, as listed in the Alexandria database.

Calculated values
V = 72.1 Å³ per cell
Fermi-level density of states = 5.712 states/eV per cell

Unit cell a=3.7205 b=3.7205 c=6.3865 alpha=73.07 beta=73.07 gamma=60.00
Last column: nearest neighbours and their distance in Å.
Positions (direct):
C  0.2519  0.2519  0.2443  3 Th 2.60, 3 Gd 2.64
C  0.7481  0.7481  0.7557  3 Th 2.60, 3 Gd 2.64
Gd  0.5000  0.5000  0.5000  6 C 2.64
Th  0.0000  0.0000  0.0000  6 C 2.60

=====

[3]
First-principles (PBE) data for an optimized crystal structure of GdThC, as listed in the Alexandria database.

Calculated values
V = 72.7 Å³ per cell
Fermi-level density of states = 3.146 states/eV per cell

Unit cell a=3.6237 b=3.6237 c=6.3893 alpha=90.00 beta=90.00 gamma=120.00
Last column: nearest neighbours and their distance in Å.
Positions (direct):
C  0.3333  0.6667  0.6660  3 Th 2.52, 3 Gd 2.53
Gd  0.0000  0.0000  0.8875  3 C 2.53
Th  0.6667  0.3333  0.4466  3 C 2.52

=====

[4]
First-principles (PBE) data for an optimized crystal structure of GdTh2C, as listed in the Alexandria database.

Calculated values
V = 109.4 Å³ per cell
Fermi-level density of states = 5.121 states/eV per cell

Unit cell a=3.5843 b=3.5843 c=10.0484 alpha=79.73 beta=79.73 gamma=60.00
Last column: nearest neighbours and their distance in Å.
Positions (direct):
C  0.5000  0.5000  0.5000  6 Th 2.55
Gd  0.0000  0.0000  0.0000  2 Th 3.43, 6 Gd 3.58
Th  0.1164  0.1164  0.6509  3 C 2.55
Th  0.8836  0.8836  0.3491  3 C 2.55

=====

[5]
First-principles (PBE) data for an optimized crystal structure of Gd2ThC, as listed in the Alexandria database.

Calculated values
V = 107.4 Å³ per cell
Fermi-level density of states = 3.200 states/eV per cell

Unit cell a=3.5272 b=3.5272 c=10.1696 alpha=80.01 beta=80.01 gamma=60.00
Last column: nearest neighbours and their distance in Å.
Positions (direct):
C  0.5000  0.5000  0.5000  6 Gd 2.46
Gd  0.1204  0.1204  0.6388  3 C 2.46
Gd  0.8796  0.8796  0.3612  3 C 2.46
Th  0.0000  0.0000  0.0000  6 Th 3.53, 2 Gd 3.60

=====

[6]
First-principles (PBE) data for an optimized crystal structure of GdTi2C, as listed in the Alexandria database.

Calculated values
V = 71.6 Å³ per cell
Fermi-level density of states = 4.169 states/eV per cell

Unit cell a=3.1282 b=3.1282 c=8.6448 alpha=79.58 beta=79.58 gamma=60.00
Last column: nearest neighbours and their distance in Å.
Positions (direct):
C  0.5000  0.5000  0.5000  6 Ti 2.12
Gd  0.0000  0.0000  0.0000  2 Ti 3.11, 6 Gd 3.13
Ti  0.1227  0.1227  0.6320  3 C 2.12
Ti  0.8773  0.8773  0.3680  3 C 2.12

=====

Formation energy from the elements per entry: 0.2456 -0.0875 -0.2187 -0.0231 -0.0265 -0.2459 eV/atom
Raw total energy per entry: -9.996 -10.075 -10.460 -9.559 -11.228 -10.020 eV/atom